DFT (PBE with a Hubbard U) results for a relaxed structure of Pm2AlVO6.

## Properties
Theoretical density   6.674 g/cm³
Space group   P2_1/c
Electronic total energy   -161.6 eV per cell

Cell: 5.403 5.550 9.394 Å, 90.00 124.97 90.00°
Sites, in units of the cell vectors:
Pm 0.236 0.051 0.249
Pm 0.236 0.449 0.749
Pm 0.764 0.551 0.251
Pm 0.764 0.949 0.751
Al 0.000 0.000 0.500
Al 0.000 0.500 0.000
V 0.500 0.000 0.000
V 0.500 0.500 0.500
O 0.154 0.217 0.954
O 0.154 0.283 0.454
O 0.240 0.703 0.955
O 0.240 0.797 0.455
O 0.328 0.021 0.742
O 0.328 0.479 0.242
O 0.672 0.521 0.758
O 0.672 0.979 0.258
O 0.760 0.203 0.545
O 0.760 0.297 0.045
O 0.846 0.717 0.546
O 0.846 0.783 0.046